DFT (PBE) results for a geometry-optimized Rb2CoSiCl6 structure.

Cell and atoms, written as extended XYZ:
```
10
Lattice="7.2400 0.0000 0.0000 0.0000 7.2400 0.0000 3.6200 3.6200 4.5469" Properties=species:S:1:pos:R:3 pbc="T T T"
Rb 7.2400 3.6200 2.2735
Rb 3.6200 7.2400 2.2735
Cl 1.8066 5.4335 0.0000
Cl 7.2400 7.2400 2.2360
Cl 5.4335 1.8066 0.0000
Cl 5.4335 5.4335 0.0000
Cl 1.8066 1.8066 0.0000
Cl 3.6200 3.6200 2.3109
Si 3.6200 3.6200 0.0000
Co 0.0000 0.0000 0.0000
```

Results
The calculation puts the total moment at 1.95 Bohr magnetons per cell. For the uncorrected formation energy, the calculation gives -1.07 eV per atom.

DFT (PBE) results for a geometry-optimized Hg2SbP structure.

Cell and atoms, written as extended XYZ:
```
4
Lattice="10.7529 -0.0734 -0.0432 10.1362 3.5899 -0.0432 10.1362 1.7063 3.1587" Properties=species:S:1:pos:R:3 pbc="T T T"
Hg 7.5243 1.2666 0.7451
Hg 0.0274 0.0046 0.0027
Sb 23.9544 4.0325 2.3722
P 15.0319 2.5305 1.4886
```

Results
The calculation puts the total moment at 0.00 Bohr magnetons per cell. For the uncorrected formation energy, the calculation gives 0.08 eV per atom. Its energy relative to the lowest polymorph listed for this composition is 0 meV/atom.

DFT (PBE) results for a geometry-optimized RbGaF3 structure.

Cell and atoms, written as extended XYZ:
```
10
Lattice="3.3920 -1.9584 0.0000 0.0000 3.9167 0.0000 0.0000 0.0000 14.2908" Properties=species:S:1:pos:R:3 pbc="T T T"
F 2.2613 0.0000 5.5455
F 1.1307 1.9584 8.7453
F 2.2613 0.0000 1.5999
F 1.1307 1.9584 12.6909
F 0.0000 0.0000 3.5727
F 0.0000 0.0000 10.7181
Ga 1.1307 1.9584 10.7181
Ga 2.2613 0.0000 3.5727
Rb 0.0000 0.0000 7.1454
Rb 0.0000 0.0000 0.0000
```

Results
The calculation puts the total moment at 0.00 Bohr magnetons per cell. For the uncorrected formation energy, the calculation gives -2.30 eV per atom.

DFT (PBE) results for a geometry-optimized TaTl2Cl structure.

Cell and atoms, written as extended XYZ:
```
4
Lattice="-2.9526 2.5960 -4.1264 0.7147 -2.2609 -5.1828 -1.2593 -2.0727 5.1577" Properties=species:S:1:pos:R:3 pbc="T T T"
Cl -0.8318 -2.0830 -2.3398
Tl -1.1189 0.1676 -4.6546
Tl 0.0000 0.0000 0.0000
Ta -2.6654 0.3454 -1.8116
```

Results
The calculation puts the total moment at 0.32 Bohr magnetons per cell. For the uncorrected formation energy, the calculation gives 0.73 eV per atom. Its energy relative to the lowest polymorph listed for this composition is 822 meV/atom.

DFT (PBE) results for a geometry-optimized B2Pd7Pb structure.

Cell and atoms, written as extended XYZ:
```
10
Lattice="4.0749 0.0000 0.0000 0.0000 6.5552 0.1572 0.0000 -2.8171 5.9211" Properties=species:S:1:pos:R:3 pbc="T T T"
Pd 0.0000 3.4702 2.0544
Pd 0.0000 0.2679 4.0239
Pd 2.0375 1.7491 5.6901
Pd 2.0375 4.2890 4.1281
Pd 2.0375 -0.5509 1.9503
Pd 2.0375 1.9890 0.3882
Pd 2.0375 1.8691 3.0392
B 2.0375 3.8538 1.8185
B 2.0375 -0.1157 4.2598
Pb 0.0000 0.0000 0.0000
```

Results
For the formation energy, the calculation gives -99 meV/atom. The calculation puts the total moment at 0.00 Bohr magnetons per cell.

DFT (PBE) results for a geometry-optimized InPd5Au6 structure.

Cell and atoms, written as extended XYZ:
```
12
Lattice="9.0644 -0.5436 0.0000 2.0991 3.5416 0.0000 1.0496 1.7708 6.1577" Properties=species:S:1:pos:R:3 pbc="T T T"
Au 7.3033 0.4880 2.0780
Au 2.8592 0.7116 0.0000
Au 4.9098 4.2807 4.0797
Au 8.3528 2.2588 4.0797
Au 3.8602 2.5099 2.0780
Au 8.3043 2.2863 0.0000
Pd 5.5818 1.4990 0.0000
Pd 2.0991 3.5416 4.1567
Pd 5.5818 1.4990 4.0972
Pd 6.6313 3.2697 2.0605
Pd 1.0496 1.7708 2.0011
In 0.0000 0.0000 0.0000
```

Results
For the formation energy, the calculation gives -168 meV/atom. The calculation puts the total moment at 0.00 Bohr magnetons per cell.

| no. | calculated density (g cm⁻³) |
| --- | --- |
| 1 | 3.3 |
| 2 | 7.3 |
| 3 | 3.7 |
| 4 | 11.4 |
| 5 | 10.1 |
| 6 | 14.8 |